1.
## SmNbTl (PBE-GGA)

Data for an optimized crystal structure of SmNbTl.

a b c (Å): 4.9529 4.9529 4.9529
angles (deg): 60.00 60.00 60.00
With the nearest neighbours (Å) after each atom.
Sites, in units of the cell vectors:
Nb  0.2500  0.2500  0.2500  4 Tl 3.03
Sm  0.7500  0.7500  0.7500  4 Tl 3.03
Tl  0.0000  0.0000  0.0000  4 Sm 3.03, 4 Nb 3.03

For the total energy, the calculation gives -15.24 eV/cell. The calculation puts the magnetization at 2.2 μB/f.u. The excess energy over the best structure of this formula in the dataset comes out at 0.0 kJ/mol of atoms.

***

2.
## YHf5Sb3 (PBE-GGA)

Data for an optimized crystal structure of YHf5Sb3.

a b c (Å): 5.8009 5.6910 7.4143
angles (deg): 90.00 110.09 90.00
With the nearest neighbours (Å) after each atom.
Sites, in units of the cell vectors:
Hf  0.6033  0.6350  0.2071  3 Sb 2.80-3.12, 3 Hf 2.89-3.12
Hf  0.1995  0.3119  0.2091  3 Sb 2.87-3.15, 2 Hf 2.98-3.17, 1 Y 3.21
Hf  0.0000  0.9470  0.5000  4 Sb 2.80-2.90, 2 Hf 3.12
Hf  0.8005  0.3119  0.7909  3 Sb 2.87-3.15, 2 Hf 2.98-3.17, 1 Y 3.21
Hf  0.3967  0.6350  0.7929  3 Sb 2.80-3.12, 3 Hf 2.89-3.12
Sb  0.5000  0.1219  0.0000  6 Hf 2.91-3.26
Sb  0.0000  0.4386  0.5000  6 Hf 2.80-2.89
Sb  0.5000  0.9275  0.5000  6 Hf 2.90-3.15
Y  0.0000  0.8212  0.0000  8 Hf 3.21-3.47, 2 Sb 3.37

For the total energy, the calculation gives -68.40 eV/cell. The calculation puts the magnetization at 0.0 μB/f.u.

***

3.
## Cu11Ag9 (PBE-GGA)

Data for an optimized crystal structure of Cu11Ag9.

a b c (Å): 9.5072 9.5072 11.3465
angles (deg): 98.73 98.73 16.81
With the nearest neighbours (Å) after each atom.
Sites, in units of the cell vectors:
Ag  0.7940  0.7940  0.1863  8 Cu 2.69-2.81, 4 Ag 2.78-2.86
Ag  0.0013  0.0013  0.2383  7 Ag 2.74-2.84, 5 Cu 2.77-2.98
Ag  0.3988  0.3988  0.3515  5 Cu 2.69-2.98, 7 Ag 2.78-2.86
Ag  0.6030  0.6030  0.4026  5 Cu 2.72-2.92, 7 Ag 2.78-2.91
Ag  0.2121  0.2121  0.5606  4 Cu 2.66-2.72, 5 Ag 2.78-2.87
Ag  0.3964  0.3964  0.6026  9 Cu 2.69-2.86, 3 Ag 2.78-2.86
Ag  0.5915  0.5915  0.6556  5 Cu 2.68-2.77, 7 Ag 2.78-3.00
Ag  0.2036  0.2036  0.8106  7 Cu 2.65-2.72, 5 Ag 2.78-2.89
Ag  0.0018  0.0018  0.9967  9 Cu 2.65-2.82, 3 Ag 2.74-2.78
Cu  0.1940  0.1940  0.0412  8 Cu 2.54-2.82, 3 Ag 2.65-2.69
Cu  0.3965  0.3965  0.0880  5 Cu 2.53-2.78, 6 Ag 2.75-2.77
Cu  0.6106  0.6106  0.1476  7 Cu 2.54-2.78, 4 Ag 2.80-2.82
Cu  0.1993  0.1993  0.2950  7 Cu 2.58-2.87, 4 Ag 2.70-2.72
Cu  0.7942  0.7942  0.4341  4 Cu 2.60-2.78, 7 Ag 2.66-2.86
Cu  0.9981  0.9981  0.5002  9 Ag 2.68-2.98, 3 Cu 2.78-2.97
Cu  0.8069  0.8069  0.7207  5 Cu 2.51-2.78, 6 Ag 2.69-2.72
Cu  0.9949  0.9949  0.7614  6 Cu 2.63-2.78, 5 Ag 2.65-2.75
Cu  0.3979  0.3979  0.8530  9 Cu 2.51-2.78, 2 Ag 2.73
Cu  0.5998  0.5998  0.9012  7 Cu 2.60-2.78, 5 Ag 2.67-2.77
Cu  0.8053  0.8053  0.9527  9 Cu 2.53-2.82, 3 Ag 2.69

For the total energy, the calculation gives -64.46 eV/cell. The excess energy over the best structure of this formula in the dataset comes out at 0.0 kJ/mol of atoms. The formation energy is 0.092 eV per atom.

***

4.
## PrPIrO (PBE-GGA)

Data for an optimized crystal structure of PrPIrO.

a b c (Å): 3.3906 7.6492 5.3397
angles (deg): 90.00 90.00 90.00
With the nearest neighbours (Å) after each atom.
Sites, in units of the cell vectors:
Ir  0.5000  0.2546  0.0042  2 P 2.23, 2 O 2.25-2.36
Ir  0.5000  0.7454  0.5042  2 P 2.23, 2 O 2.25-2.36
O  0.5000  0.4941  0.2476  2 Ir 2.25-2.36, 4 Pr 2.50-2.51
O  0.5000  0.5059  0.7476  2 Ir 2.25-2.36, 4 Pr 2.50-2.51
P  0.0000  0.9356  0.4971  2 Ir 2.23
P  0.0000  0.0644  0.9971  2 Ir 2.23
Pr  0.0000  0.6661  0.0051  4 O 2.50-2.51
Pr  0.0000  0.3339  0.5051  4 O 2.50-2.51

For the total energy, the calculation gives -57.96 eV/cell. The calculation puts the magnetization at 0.0 μB/f.u. The excess energy over the best structure of this formula in the dataset comes out at 63.4 kJ/mol of atoms.

***

5.
## LuTaBe (PBE-GGA)

Data for an optimized crystal structure of LuTaBe.

a b c (Å): 4.5751 4.5751 4.5751
angles (deg): 60.00 60.00 60.00
With the nearest neighbours (Å) after each atom.
Sites, in units of the cell vectors:
Be  0.2500  0.2500  0.2500  4 Lu 2.80
Lu  0.0000  0.0000  0.0000  4 Ta 2.80, 4 Be 2.80
Ta  0.7500  0.7500  0.7500  4 Lu 2.80

For the total energy, the calculation gives -15.13 eV/cell. The calculation puts the magnetization at 1.8 μB/f.u. The excess energy over the best structure of this formula in the dataset comes out at 30.6 kJ/mol of atoms.

***

6.
## CdSiAg2Te2S2 (PBE-GGA)

Data for an optimized crystal structure of CdSiAg2Te2S2.

a b c (Å): 7.2979 7.2979 5.9488
angles (deg): 112.10 112.10 48.47
With the nearest neighbours (Å) after each atom.
Sites, in units of the cell vectors:
Ag  0.7760  0.7191  0.3041  2 S 2.56-2.59, 2 Te 2.79-2.82
Ag  0.2809  0.2240  0.6959  2 S 2.56-2.59, 2 Te 2.79-2.82
Cd  0.0002  0.9998  0.0000  2 S 2.65, 2 Te 2.86
S  0.3791  0.8322  0.3747  1 Si 2.16
S  0.1678  0.6209  0.6253  1 Si 2.16
Si  0.4609  0.5391  0.5000  2 S 2.16
Te  0.5868  0.1517  0.1610  1 Si 2.56, 2 Ag 2.79-2.82, 1 Cd 2.86
Te  0.8483  0.4132  0.8390  1 Si 2.56, 2 Ag 2.79-2.82, 1 Cd 2.86

For the total energy, the calculation gives -28.89 eV/cell. The excess energy over the best structure of this formula in the dataset comes out at 0.0 kJ/mol of atoms.

***

7.
## GdBeCo (PBE-GGA)

Data for an optimized crystal structure of GdBeCo.

a b c (Å): 4.2465 4.2465 4.2465
angles (deg): 60.00 60.00 60.00
With the nearest neighbours (Å) after each atom.
Sites, in units of the cell vectors:
Be  0.2500  0.2500  0.2500  4 Co 2.60
Co  0.0000  0.0000  0.0000  4 Be 2.60, 4 Gd 2.60
Gd  0.7500  0.7500  0.7500  4 Co 2.60

For the total energy, the calculation gives -14.68 eV/cell. The calculation puts the magnetization at 0.0 μB/f.u. The excess energy over the best structure of this formula in the dataset comes out at 0.0 kJ/mol of atoms.

***

8.
## Mg2Os (PBE-GGA)

Data for an optimized crystal structure of Mg2Os.

a b c (Å): 15.3655 2.7299 4.6697
angles (deg): 90.00 90.00 90.00
With the nearest neighbours (Å) after each atom.
Sites, in units of the cell vectors:
Mg  0.0030  0.0000  0.0000  8 Mg 2.73-2.95, 4 Os 2.79-2.83
Mg  0.6730  0.0000  0.0000  6 Mg 2.73-2.95, 6 Os 2.91-2.93
Mg  0.1730  0.5000  0.0000  6 Mg 2.73-2.95, 6 Os 2.91-2.93
Mg  0.5030  0.5000  0.0000  8 Mg 2.73-2.95, 4 Os 2.79-2.83
Mg  0.4414  0.0000  0.5000  8 Mg 2.73-2.95, 4 Os 2.79-2.83
Mg  0.7715  0.0000  0.5000  6 Mg 2.73-2.95, 6 Os 2.91-2.93
Mg  0.2714  0.5000  0.5000  6 Mg 2.73-2.95, 6 Os 2.91-2.93
Mg  0.9414  0.5000  0.5000  8 Mg 2.73-2.95, 4 Os 2.79-2.83
Os  0.3416  0.0000  0.0000  2 Os 2.73, 10 Mg 2.79-2.93
Os  0.8416  0.5000  0.0000  2 Os 2.73, 10 Mg 2.79-2.93
Os  0.1028  0.0000  0.5000  2 Os 2.73, 10 Mg 2.79-2.93
Os  0.6028  0.5000  0.5000  2 Os 2.73, 10 Mg 2.79-2.93

For the total energy, the calculation gives -55.51 eV/cell. The calculation puts the magnetization at 0.0 μB/f.u.

***

9.
## RbLaFe (PBE-GGA)

Data for an optimized crystal structure of RbLaFe.

a b c (Å): 5.2712 5.2712 5.2712
angles (deg): 60.00 60.00 60.00
With the nearest neighbours (Å) after each atom.
Sites, in units of the cell vectors:
Fe  0.0000  0.0000  0.0000  4 La 3.23, 4 Rb 3.23
La  0.2500  0.2500  0.2500  4 Fe 3.23
Rb  0.7500  0.7500  0.7500  4 Fe 3.23

For the total energy, the calculation gives -10.96 eV/cell. The calculation puts the magnetization at 1.7 μB/f.u. The excess energy over the best structure of this formula in the dataset comes out at 0.0 kJ/mol of atoms.

***

10.
## LiCdAsO (PBE-GGA)

Data for an optimized crystal structure of LiCdAsO.

a b c (Å): 3.3446 7.6576 5.0539
angles (deg): 90.00 90.00 90.00
With the nearest neighbours (Å) after each atom.
Sites, in units of the cell vectors:
As  0.0000  0.9459  0.4094  2 As 2.66, 2 Li 2.68-2.89, 2 Cd 2.78
As  0.0000  0.0541  0.9094  2 As 2.66, 2 Li 2.68-2.89, 2 Cd 2.78
Cd  0.5000  0.6589  0.4667  2 O 2.15-2.27
Cd  0.5000  0.3411  0.9667  2 O 2.15-2.27
Li  0.0000  0.2935  0.4661  2 O 1.82
Li  0.0000  0.7065  0.9661  2 O 1.82
O  0.5000  0.3808  0.4119  2 Li 1.82
O  0.5000  0.6192  0.9119  2 Li 1.82

For the total energy, the calculation gives -31.05 eV/cell. The excess energy over the best structure of this formula in the dataset comes out at 0.0 kJ/mol of atoms.

***

11.
## Cs2LiNpBr6 (PBE-GGA)

Data for an optimized crystal structure of Cs2LiNpBr6.

a b c (Å): 8.0088 8.0088 8.0088
angles (deg): 120.23 120.23 89.61
With the nearest neighbours (Å) after each atom.
Sites, in units of the cell vectors:
Br  0.2538  0.2538  0.0000  1 Li 2.80, 1 Np 2.88
Br  0.7455  0.2545  0.0000  1 Li 2.77, 1 Np 2.87
Br  0.2545  0.7455  0.0000  1 Li 2.77, 1 Np 2.87
Br  0.7462  0.7462  0.0000  1 Li 2.80, 1 Np 2.88
Br  0.7455  0.7455  0.4911  1 Li 2.77, 1 Np 2.87
Br  0.2545  0.2545  0.5089  1 Li 2.77, 1 Np 2.87
Cs  0.7500  0.2500  0.5000  12 Br 3.99-4.00
Cs  0.2500  0.7500  0.5000  12 Br 3.99-4.00
Li  0.5000  0.5000  0.0000  6 Br 2.77-2.80
Np  0.0000  0.0000  0.0000  6 Br 2.87-2.88

For the total energy, the calculation gives -42.43 eV/cell. The calculation puts the magnetization at 4.0 μB/f.u.

***

12.
## Ge64Pt (PBE-GGA)

Data for an optimized crystal structure of Ge64Pt.

a b c (Å): 11.5280 11.5280 11.5280
angles (deg): 90.00 90.00 90.00
With the nearest neighbours (Å) after each atom.
Sites, in units of the cell vectors:
Ge  0.2520  0.0000  0.0000  4 Ge 2.49-2.54
Ge  0.7480  0.0000  0.0000  4 Ge 2.49-2.54
Ge  0.5000  0.2498  0.0000  4 Ge 2.49
Ge  0.0000  0.2520  0.0000  4 Ge 2.49-2.54
Ge  0.2498  0.5000  0.0000  4 Ge 2.49
Ge  0.7502  0.5000  0.0000  4 Ge 2.49
Ge  0.0000  0.7480  0.0000  4 Ge 2.49-2.54
Ge  0.5000  0.7502  0.0000  4 Ge 2.49
Ge  0.6242  0.3758  0.1241  4 Ge 2.49
Ge  0.3758  0.6242  0.1241  4 Ge 2.49
Ge  0.3753  0.1258  0.1258  4 Ge 2.49
Ge  0.1258  0.3753  0.1258  4 Ge 2.49
Ge  0.8742  0.6247  0.1258  4 Ge 2.49
Ge  0.6247  0.8742  0.1258  4 Ge 2.49
Ge  0.8704  0.1296  0.1296  4 Ge 2.48-2.54, 1 Pt 2.59
Ge  0.1296  0.8704  0.1296  4 Ge 2.48-2.54, 1 Pt 2.59
Ge  0.5000  0.0000  0.2498  4 Ge 2.49
Ge  0.0000  0.5000  0.2498  4 Ge 2.49
Ge  0.5000  0.5000  0.2502  4 Ge 2.49
Ge  0.2504  0.2504  0.2504  4 Ge 2.49
Ge  0.7496  0.7496  0.2504  4 Ge 2.49
Ge  0.0000  0.0000  0.2520  4 Ge 2.49-2.54
Ge  0.7462  0.2538  0.2538  4 Ge 2.48-2.49
Ge  0.2538  0.7462  0.2538  4 Ge 2.48-2.49
Ge  0.3752  0.3752  0.3752  4 Ge 2.49
Ge  0.6248  0.6248  0.3752  4 Ge 2.49
Ge  0.1258  0.1258  0.3753  4 Ge 2.49
Ge  0.8742  0.8742  0.3753  4 Ge 2.49
Ge  0.6242  0.1241  0.3758  4 Ge 2.49
Ge  0.8759  0.3758  0.3758  4 Ge 2.49
Ge  0.1241  0.6242  0.3758  4 Ge 2.49
Ge  0.3758  0.8759  0.3758  4 Ge 2.49
Ge  0.2498  0.0000  0.5000  4 Ge 2.49
Ge  0.7502  0.0000  0.5000  4 Ge 2.49
Ge  0.0000  0.2498  0.5000  4 Ge 2.49
Ge  0.5000  0.2502  0.5000  4 Ge 2.49
Ge  0.2502  0.5000  0.5000  4 Ge 2.49
Ge  0.7498  0.5000  0.5000  4 Ge 2.49
Ge  0.5000  0.7498  0.5000  4 Ge 2.49
Ge  0.0000  0.7502  0.5000  4 Ge 2.49
Ge  0.3758  0.1241  0.6242  4 Ge 2.49
Ge  0.1241  0.3758  0.6242  4 Ge 2.49
Ge  0.8759  0.6242  0.6242  4 Ge 2.49
Ge  0.6242  0.8759  0.6242  4 Ge 2.49
Ge  0.8742  0.1258  0.6247  4 Ge 2.49
Ge  0.1258  0.8742  0.6247  4 Ge 2.49
Ge  0.6248  0.3752  0.6248  4 Ge 2.49
Ge  0.3752  0.6248  0.6248  4 Ge 2.49
Ge  0.2538  0.2538  0.7462  4 Ge 2.48-2.49
Ge  0.7462  0.7462  0.7462  4 Ge 2.48-2.49
Ge  0.0000  0.0000  0.7480  4 Ge 2.49-2.54
Ge  0.7496  0.2504  0.7496  4 Ge 2.49
Ge  0.2504  0.7496  0.7496  4 Ge 2.49
Ge  0.5000  0.5000  0.7498  4 Ge 2.49
Ge  0.5000  0.0000  0.7502  4 Ge 2.49
Ge  0.0000  0.5000  0.7502  4 Ge 2.49
Ge  0.1296  0.1296  0.8704  4 Ge 2.48-2.54, 1 Pt 2.59
Ge  0.8704  0.8704  0.8704  4 Ge 2.48-2.54, 1 Pt 2.59
Ge  0.6247  0.1258  0.8742  4 Ge 2.49
Ge  0.8742  0.3753  0.8742  4 Ge 2.49
Ge  0.1258  0.6247  0.8742  4 Ge 2.49
Ge  0.3753  0.8742  0.8742  4 Ge 2.49
Ge  0.3758  0.3758  0.8759  4 Ge 2.49
Ge  0.6242  0.6242  0.8759  4 Ge 2.49
Pt  0.0000  0.0000  0.0000  4 Ge 2.59

For the total energy, the calculation gives -300.20 eV/cell. The calculation puts the magnetization at 0.0 μB/f.u. The excess energy over the best structure of this formula in the dataset comes out at 0.6 kJ/mol of atoms.